4
Lattice="-1.4921 2.1105 6.8835 1.4921 -2.1105 6.8835 1.4921 2.1105 -6.8835" Properties=species:S:1:pos:R:3 comment="Hg2RhCl (PBE-GGA, relaxed)" sg="Immm, No. 71" dos_at_fermi_per_ev_fu=2.1 e_form_raw_kj_per_mol_fu=46 polymorph_energy_kj_per_mol_fu=44.4 pbc="T T T"
Hg 0.0000 0.0000 2.4995
Hg 0.0000 0.0000 11.2676
Rh 1.4921 0.0000 0.0000
Cl 0.0000 2.1105 0.0000